Cu2AsRu | PBE | optimized geometry

Cell and atoms, written as CIF:
```
data_Cu2AsRu
_cell_length_a 3.147
_cell_length_b 3.147
_cell_length_c 5.491
_cell_angle_alpha 90.00
_cell_angle_beta 90.00
_cell_angle_gamma 90.00
_space_group_name_H-M_alt 'P 1'
_space_group_IT_number 1
_space_group_name_Hall 'P 1'
loop_
_atom_site_label
_atom_site_type_symbol
_atom_site_fract_x
_atom_site_fract_y
_atom_site_fract_z
As1 As 0.500 0.500 0.737
Cu1 Cu 0.000 0.000 0.023
Cu2 Cu 0.500 0.500 0.226
Ru1 Ru 0.000 0.000 0.515
```

## Properties
The value obtained for the uncorrected energy is -22.1 eV per cell. The density of states at the Fermi level is 1.8 states/eV per cell. The space-group type is P4mm. The value obtained for the calculated formation energy is 0.0052 eV per atom.